1.
CaMgTi2Pb (PBE, relaxed); E = -18.7 eV/f.u.; ΔH_f (0 K) = 0.878 eV per atom
1.0
-0.8082 -1.1486 -4.7811
-5.0840 -1.2609 1.1623
-1.3724 4.7054 -0.8984
Mg Pb Ti Ca
1 1 2 1
direct
0.0000 0.0000 0.0000
0.5000 0.5000 0.5000
0.5000 0.0000 0.0000
0.0000 0.0000 0.5000
0.0000 0.5000 0.0000

---

2.
Ce3SmPd12 (PBE, relaxed); E = -98.1 eV/f.u.; ΔH_f (0 K) = -0.832 eV per atom
1.0
4.1604 0.0000 0.0000
0.0000 4.1604 0.0000
0.0000 0.0000 16.6285
Ce Pd Sm
3 12 1
direct
0.0000 0.0000 0.5000
0.0000 0.0000 0.2489
0.0000 0.0000 0.7511
0.5000 0.5000 0.0000
0.5000 0.0000 0.1276
0.5000 0.0000 0.3752
0.0000 0.5000 0.1276
0.5000 0.0000 0.6248
0.5000 0.5000 0.5000
0.5000 0.0000 0.8724
0.5000 0.5000 0.7489
0.0000 0.5000 0.6248
0.5000 0.5000 0.2511
0.0000 0.5000 0.8724
0.0000 0.5000 0.3752
0.0000 0.0000 0.0000

---

3.
LiCa5In6 (PBE, relaxed); E = -33.5 eV/f.u.; ΔH_f (0 K) = -0.428 eV per atom
1.0
5.1748 -0.0102 -1.4543
-3.8686 7.4868 -3.8487
-0.2179 -1.0604 9.2010
In Ca Li
6 5 1
direct
0.2231 0.0677 0.3805
0.7769 0.9323 0.6195
0.7134 0.2116 0.2116
0.2231 0.3805 0.0677
0.2866 0.7884 0.7884
0.7769 0.6195 0.9323
0.5000 0.5000 0.5000
0.0000 0.3398 0.6602
0.5000 0.8200 0.1800
0.5000 0.1800 0.8200
0.0000 0.6602 0.3398
0.0000 0.0000 0.0000

---

4.
HfGeOs3 (PBE, relaxed); E = -43.6 eV/f.u.; relative energy among the computed polymorphs = 0 meV per atom; ΔH_f (0 K) = 0.923 eV per atom
1.0
4.4924 0.0000 0.0000
0.0000 4.4924 0.0000
0.0000 0.0000 4.4924
Ge Os Hf
1 3 1
direct
0.0000 0.0000 0.0000
0.5000 0.0000 0.0000
0.0000 0.0000 0.5000
0.0000 0.5000 0.0000
0.5000 0.5000 0.5000

---

5.
PrCuC2O8 (PBE, relaxed); uncorrected formation energy = -14.0 eV per formula unit; E = -81.0 eV/f.u.
1.0
-1.4115 -0.3869 4.5623
-3.0296 -1.0965 -3.5462
2.2453 -6.6314 0.1323
Pr O C Cu
1 8 2 1
direct
0.0000 0.0000 0.5000
0.1741 0.3481 0.7987
0.6519 0.8259 0.7987
0.8259 0.1741 0.2013
0.3481 0.1741 0.2013
0.1741 0.8259 0.7987
0.8259 0.6519 0.2013
0.6667 0.3333 0.4563
0.3333 0.6667 0.5437
0.3333 0.6667 0.7431
0.6667 0.3333 0.2569
0.0000 0.0000 0.0000

---

Q: Which of these has the highest E?
A: CaMgTi2Pb